First-principles (GGA-PBE) data for a geometry-optimized CaNd3Sn12 structure, as listed in Alexandria via LeMat-Bulk.

```
CaNd3Sn12
1.0
4.757 0.000 0.000
0.000 4.757 0.000
0.000 0.000 19.182
Sn Ca Nd
12 1 3
Cartesian
2.378 2.378 4.779
2.378 0.000 2.373
2.378 2.378 0.000
2.378 0.000 7.198
2.378 0.000 16.809
2.378 0.000 11.983
2.378 2.378 14.403
0.000 2.378 2.373
2.378 2.378 9.591
0.000 2.378 16.809
0.000 2.378 11.983
0.000 2.378 7.198
0.000 0.000 0.000
0.000 0.000 4.824
0.000 0.000 9.591
0.000 0.000 14.357
```

Calculated values
Final energy, eV/cell: -71.94
Space-group type: P4/mmm (123)
Energy of formation from the pure elements, eV/atom: -0.475